The following is a PBE-GGA calculation of a geometry-optimized AcPu3 structure, from Alexandria.

```
AcPu3
1.0
-3.4010 -0.5170 -3.6313
1.5590 -4.6863 -0.7929
-3.3201 -1.6709 3.3474
Ac Pu
1 3
Cartesian
0.0000 0.0000 0.0000
-0.8806 -3.1786 1.2773
-3.3606 -1.0940 -0.1420
-0.9210 -2.6017 -2.2121
```

* magnetization: 18.1 μB per cell
* volume: 31.3 A^3/atom
* formation energy: 373 meV per atom
* crystal system: cubic
* E: -11.40 eV per atom